The following is a DFT calculation (GGA-PBEsol) of a relaxed NbPN3 crystal.

Structure (CIF):
```
data_NbPN3
_symmetry_space_group_name_H-M 'P 1'
_symmetry_Int_Tables_number 1
_symmetry_space_group_name_Hall 'P 1'
_cell_length_a 3.497
_cell_length_b 3.497
_cell_length_c 3.497
_cell_angle_alpha 90.00
_cell_angle_beta 90.00
_cell_angle_gamma 90.00
loop_
_atom_site_label
_atom_site_type_symbol
_atom_site_fract_x
_atom_site_fract_y
_atom_site_fract_z
Nb1 Nb 0.000 0.000 0.000
P1 P 0.500 0.500 0.500
N1 N 0.000 0.500 0.500
N2 N 0.500 0.000 0.500
N3 N 0.500 0.500 0.000
```

Calculated values
Total moment (μB/cell): 0.0
Space group: No. 221
Crystal system: cubic
VASP energy (eV/atom): -8.3415
Calculated volume (Å³/atom): 8.56
Raw formation energy (eV per formula unit): 0.49
Density of states at the Fermi level (states/eV per atom): 0.39